The following is a PBE calculation of crystalline Rb2BeAgSb2 at its relaxed geometry, from the Alexandria database.

Calculated values
DOS at the Fermi energy	7.189	states/eV/cell
calculated total energy	-35.484	eV for the cell shown
SG	Ibam (72)
total magnetic moment	0.00	μB/cell

abc: 9.600 9.600 9.600
angles: 138.42 59.05 140.02
Fractional coordinates of all 12 atoms:
Rb (0.168, 0.230, 0.398)
Rb (0.332, 0.730, 0.062)
Rb (0.668, 0.270, 0.938)
Rb (0.832, 0.770, 0.602)
Be (0.250, 0.750, 0.500)
Be (0.750, 0.250, 0.500)
Ag (0.250, 0.250, 0.000)
Ag (0.750, 0.750, 0.000)
Sb (0.083, 0.712, 0.795)
Sb (0.417, 0.212, 0.629)
Sb (0.583, 0.788, 0.371)
Sb (0.917, 0.288, 0.205)

---

The following is a PBE calculation of crystalline RbBeAgSe2 at its relaxed geometry, from the Alexandria database.

Calculated values
calculated total energy	-34.999	eV for the cell shown
SG	C2/m (12)
total magnetic moment	0.00	μB/cell

abc: 7.241 7.241 9.563
angles: 98.39 98.39 32.25
Fractional coordinates of all 10 atoms:
Rb (0.150, 0.150, 0.157)
Rb (0.850, 0.850, 0.843)
Be (0.438, 0.438, 0.342)
Be (0.562, 0.562, 0.658)
Ag (0.204, 0.204, 0.577)
Ag (0.796, 0.796, 0.423)
Se (0.104, 0.104, 0.791)
Se (0.398, 0.398, 0.570)
Se (0.602, 0.602, 0.430)
Se (0.896, 0.896, 0.209)

---

The following is a PBE calculation of crystalline Rb2TiBeAg at its relaxed geometry, from the Alexandria database.

Calculated values
DOS at the Fermi energy	19.599	states/eV/cell
ΔH_f (0 K)	6.16	eV per formula unit
calculated total energy	-10.252	eV for the cell shown
SG	P4/mmm (123)
total magnetic moment	0.02	μB/cell

abc: 6.784 6.784 4.494
angles: 90.00 90.00 90.00
Fractional coordinates of all 5 atoms:
Rb (0.000, 0.500, 0.000)
Rb (0.500, 0.000, 0.000)
Ti (0.000, 0.000, 0.500)
Be (0.500, 0.500, 0.500)
Ag (0.500, 0.500, 0.000)

---

The following is a PBE calculation of crystalline RbBeAgW2 at its relaxed geometry, from the Alexandria database.

Calculated values
DOS at the Fermi energy	5.700	states/eV/cell
ΔH_f (0 K)	9.15	eV per formula unit
calculated total energy	-24.301	eV for the cell shown
SG	P4/mmm (123)
total magnetic moment	2.04	μB/cell

abc: 4.372 4.372 5.776
angles: 90.00 90.00 90.00
Fractional coordinates of all 5 atoms:
Rb (0.000, 0.000, 0.000)
Be (0.000, 0.000, 0.500)
Ag (0.500, 0.500, 0.000)
W (0.000, 0.500, 0.500)
W (0.500, 0.000, 0.500)